A relaxed structure of SrCrIO2. Source: the Alexandria database, functional PBE+U.

E above lowest polymorph = 691.6 meV/atom
DOS at the Fermi energy = 5.5 states/eV/f.u.

Lattice parameters (Å, degrees): 4.5155 4.5155 6.7628 90.00 90.00 90.00
Last column: nearest neighbours and their distance in Å.
Space group P4/mmm (No. 123)
One atom of each set of equivalent atoms:
Sr 0.0000 0.0000 0.0000 [1 per cell]  4 O 2.26
Cr 0.5000 0.5000 0.5000 [1 per cell]  4 I 3.19
I 0.0000 0.0000 0.5000 [1 per cell]  4 Cr 3.19, 2 Sr 3.38
O 0.0000 0.5000 0.0000 [2 per cell]  2 Sr 2.26